(1)
Below is a PBEsol-optimized structure of Dy5BiPt2, with properties calculated at the SCAN level.

Lattice parameters (Å, degrees): 7.7271 7.7271 13.4449 90.00 90.00 90.00
Last column: nearest neighbours and their distance in Å.
Space group I4/mcm (No. 140)
Asymmetric unit:
Dy (0.0000, 0.0000, 0.0000) x4  4 Pt 3.00
Dy (0.1567, 0.3433, 0.1363) x16  3 Pt 2.90-2.92
Bi (0.0000, 0.0000, 0.2500) x4  10 Dy 3.29-3.36
Pt (0.1373, 0.3627, 0.5000) x8  8 Dy 2.90-3.00, 1 Pt 3.00

Summary:
The calculation puts the calculated total energy at -466.9 eV/f.u. The total magnetization is 0.00 μB per atom. Its energy of formation from the pure elements is -1120 meV per atom. The value obtained for the density of states at the Fermi level is 0.800 states/eV per atom. Its crystal system is tetragonal.

---

(2)
Below is a PBEsol-optimized structure of Er5Bi3, with properties calculated at the SCAN level.

Lattice parameters (Å, degrees): 11.7115 9.3045 8.0843 90.00 90.00 90.00
Last column: nearest neighbours and their distance in Å.
Space group Pnma (No. 62)
Asymmetric unit:
Er (0.0047, 0.2500, 0.0196) x4  5 Bi 3.09-3.16, 2 Er 3.26
Er (0.0632, 0.0628, 0.6893) x8  4 Bi 3.02-3.36, 1 Er 3.26
Er (0.2111, 0.7500, 0.3384) x4  5 Bi 3.01-3.29
Er (0.2277, 0.2500, 0.3270) x4  6 Bi 3.07-3.38
Bi (0.0295, 0.7500, 0.6020) x4  7 Er 3.01-3.12
Bi (0.1754, 0.5075, 0.0627) x8  9 Er 3.14-3.48

Summary:
The calculation puts the calculated total energy at -493.5 eV/f.u. The total magnetization is 0.00 μB per atom. Its energy of formation from the pure elements is -758 meV per atom. The value obtained for the density of states at the Fermi level is 0.714 states/eV per atom. Its crystal system is orthorhombic.

---

(3)
Below is a PBEsol-optimized structure of Er6FeBi2, with properties calculated at the SCAN level.

Lattice parameters (Å, degrees): 8.1307 8.1307 4.0602 90.00 90.00 120.00
Last column: nearest neighbours and their distance in Å.
Space group P-62m (No. 189)
Asymmetric unit:
Er (0.0000, 0.3886, 0.0000) x3  1 Fe 3.16, 4 Bi 3.23, 4 Er 3.42
Er (0.0000, 0.7703, 0.5000) x3  2 Fe 2.76
Fe (0.0000, 0.0000, 0.0000) x1  6 Er 2.76
Bi (0.3333, 0.6667, 0.5000) x2  9 Er 3.22-3.23

Summary:
The calculation puts the calculated total energy at -481.7 eV/f.u. The total magnetization is 0.09 μB per atom. Its energy of formation from the pure elements is -484 meV per atom. The value obtained for the density of states at the Fermi level is 0.569 states/eV per atom. Its crystal system is hexagonal.

---

(4)
Below is a PBEsol-optimized structure of ErGeBiO5, with properties calculated at the SCAN level.

Lattice parameters (Å, degrees): 5.3015 15.1937 10.9230 90.00 90.00 90.00
Last column: nearest neighbours and their distance in Å.
Space group Pbca (No. 61)
Asymmetric unit:
Er (0.0114, 0.0538, 0.1416) x8  7 O 2.25-2.36
Ge (0.0053, 0.0953, 0.5973) x8  4 O 1.75-1.78
Bi (0.0397, 0.7380, 0.1452) x8  5 O 2.18-2.33
O (0.0635, 0.1989, 0.6690) x8  1 Ge 1.78
O (0.1492, 0.5210, 0.8065) x8  1 Ge 1.75
O (0.1958, 0.6258, 0.0254) x8  1 Ge 1.77
O (0.1989, 0.5610, 0.5404) x8  1 Ge 1.77
O (0.2499, 0.1502, 0.2650) x8  2 Bi 2.18-2.26, 2 Er 2.26-2.36

Summary:
The calculation puts the calculated total energy at -198.1 eV/f.u. The total magnetization is 0.00 μB per atom. The value obtained for the density of states at the Fermi level is 0.000 states/eV per atom. The value obtained for the energy relative to the elements, uncorrected is -2.37 eV per atom. Its crystal system is orthorhombic.

---

(5)
Below is a PBEsol-optimized structure of Ho3Er9Mn2Bi4, with properties calculated at the SCAN level.

Lattice parameters (Å, degrees): 8.1155 4.1542 14.0679 90.00 90.02 90.00
Last column: nearest neighbours and their distance in Å.
Space group Pm (No. 6)
Asymmetric unit:
Ho (0.0000, 0.0000, 0.0000) x1  2 Mn 2.81
Ho (0.1523, 0.0000, 0.3842) x1  2 Mn 2.81
Ho (0.6520, 0.0000, 0.8840) x1  2 Mn 2.81
Er (0.0000, 0.0000, 0.7681) x1  2 Mn 2.80
Er (0.1889, 0.5000, 0.1891) x1  1 Mn 3.17, 4 Bi 3.25-3.26, 2 Er 3.45, 2 Ho 3.46
Er (0.1888, 0.5000, 0.5793) x1  1 Mn 3.17, 4 Bi 3.25-3.26, 2 Er 3.45, 2 Ho 3.46
Er (0.2743, 0.5000, 0.8839) x1  1 Mn 3.16, 4 Bi 3.26, 2 Er 3.45, 2 Ho 3.46
Er (0.4999, 0.0000, 0.2685) x1  2 Mn 2.80
Er (0.4999, 0.0000, 0.5000) x1  2 Mn 2.80
Er (0.6884, 0.5000, 0.0797) x1  1 Mn 3.19, 4 Bi 3.25, 4 Ho 3.46
Er (0.6888, 0.5000, 0.6887) x1  1 Mn 3.17, 4 Bi 3.25-3.26, 2 Er 3.45, 2 Ho 3.46
Er (0.7735, 0.5000, 0.3843) x1  1 Mn 3.15, 4 Bi 3.26, 4 Er 3.45
Mn (0.3851, 0.5000, 0.3842) x1  4 Er 2.80, 2 Ho 2.81
Mn (0.8846, 0.5000, 0.8836) x1  2 Er 2.80, 4 Ho 2.81
Bi (0.3842, 0.0000, 0.0512) x1  7 Er 3.20-3.26, 2 Ho 3.20
Bi (0.3837, 0.0000, 0.7171) x1  8 Er 3.20-3.26, 1 Ho 3.20
Bi (0.8835, 0.0000, 0.2176) x1  7 Er 3.19-3.26, 2 Ho 3.20
Bi (0.8837, 0.0000, 0.5510) x1  8 Er 3.20-3.26, 1 Ho 3.20

Summary:
The calculation puts the calculated total energy at -960.1 eV/f.u. The total magnetization is 0.03 μB per atom. Its energy of formation from the pure elements is -514 meV per atom. The value obtained for the density of states at the Fermi level is 0.442 states/eV per atom. Its crystal system is monoclinic.

---

(6)
Below is a PBEsol-optimized structure of Ho9Er3Mn2Bi4, with properties calculated at the SCAN level.

Lattice parameters (Å, degrees): 8.1389 4.1613 14.0932 90.00 90.01 90.00
Last column: nearest neighbours and their distance in Å.
Space group Pm (No. 6)
Asymmetric unit:
Ho (0.0000, 0.0000, 0.0000) x1  2 Mn 2.81
Ho (0.9999, 0.0000, 0.2321) x1  2 Mn 2.81
Ho (0.1521, 0.0000, 0.6162) x1  2 Mn 2.81
Ho (0.1878, 0.5000, 0.4203) x1  1 Mn 3.20, 4 Bi 3.26, 4 Ho 3.47
Ho (0.4997, 0.0000, 0.5003) x1  2 Mn 2.81
Ho (0.5001, 0.0000, 0.7323) x1  2 Mn 2.81
Ho (0.6522, 0.0000, 0.1160) x1  2 Mn 2.81
Ho (0.6878, 0.5000, 0.3120) x1  1 Mn 3.19, 4 Bi 3.26, 4 Ho 3.47
Ho (0.6880, 0.5000, 0.9201) x1  1 Mn 3.19, 4 Bi 3.26, 4 Ho 3.47
Er (0.1884, 0.5000, 0.8115) x1  1 Mn 3.18, 4 Bi 3.26, 4 Ho 3.46-3.47
Er (0.2746, 0.5000, 0.1160) x1  1 Mn 3.17, 4 Bi 3.26, 4 Ho 3.46-3.47
Er (0.7746, 0.5000, 0.6162) x1  1 Mn 3.18, 4 Bi 3.26, 4 Ho 3.46
Mn (0.3844, 0.5000, 0.6166) x1  6 Ho 2.81
Mn (0.8849, 0.5000, 0.1161) x1  6 Ho 2.81
Bi (0.3834, 0.0000, 0.9495) x1  5 Ho 3.20-3.26, 4 Er 3.26
Bi (0.3837, 0.0000, 0.2825) x1  7 Ho 3.20-3.26, 2 Er 3.26
Bi (0.8835, 0.0000, 0.4498) x1  7 Ho 3.20-3.26, 2 Er 3.26
Bi (0.8843, 0.0000, 0.7825) x1  5 Ho 3.20-3.26, 4 Er 3.26

Summary:
The calculation puts the calculated total energy at -952.0 eV/f.u. The total magnetization is 0.03 μB per atom. Its energy of formation from the pure elements is -517 meV per atom. The value obtained for the density of states at the Fermi level is 0.451 states/eV per atom. Its crystal system is monoclinic.

---

(7)
Below is a PBEsol-optimized structure of Ho3Er3MnBi2, with properties calculated at the SCAN level.

Lattice parameters (Å, degrees): 8.1323 8.1323 4.1552 90.00 90.00 120.00
Last column: nearest neighbours and their distance in Å.
Space group P-62m (No. 189)
Asymmetric unit:
Ho (0.0000, 0.7678, 0.0000) x3  2 Mn 2.81
Er (0.0000, 0.3908, 0.5000) x3  1 Mn 3.18, 4 Bi 3.26, 4 Ho 3.46
Mn (0.0000, 0.0000, 0.5000) x1  6 Ho 2.81
Bi (0.3333, 0.6667, 0.0000) x2  3 Ho 3.20, 6 Er 3.26

Summary:
The calculation puts the calculated total energy at -478.0 eV/f.u. The total magnetization is 0.03 μB per atom. Its energy of formation from the pure elements is -511 meV per atom. The value obtained for the density of states at the Fermi level is 0.453 states/eV per atom. Its crystal system is hexagonal.

---

(8)
Below is a PBEsol-optimized structure of Er5Ni2Bi, with properties calculated at the SCAN level.

Lattice parameters (Å, degrees): 7.4821 7.4821 13.2474 90.00 90.00 90.00
Last column: nearest neighbours and their distance in Å.
Space group I4/mcm (No. 140)
Asymmetric unit:
Er (0.0000, 0.0000, 0.0000) x4  4 Ni 2.93
Er (0.1562, 0.3438, 0.1334) x16  3 Ni 2.79-2.86
Ni (0.1313, 0.3687, 0.5000) x8  1 Ni 2.78, 8 Er 2.79-2.93
Bi (0.0000, 0.0000, 0.2500) x4  10 Er 3.22-3.31

Summary:
The calculation puts the calculated total energy at -366.9 eV/f.u. The total magnetization is 0.00 μB per atom. Its energy of formation from the pure elements is -537 meV per atom. The value obtained for the density of states at the Fermi level is 0.804 states/eV per atom. Its crystal system is tetragonal.

---

(9)
Below is a PBEsol-optimized structure of ErBi12O20, with properties calculated at the SCAN level.

Lattice parameters (Å, degrees): 10.1044 10.1044 10.1044 90.00 90.00 90.00
Last column: nearest neighbours and their distance in Å.
Space group I23 (No. 197)
Asymmetric unit:
Er (0.0000, 0.0000, 0.0000) x2  4 O 2.15
Bi (0.0021, 0.3191, 0.8283) x24  3 O 2.10-2.30
O (0.0133, 0.2470, 0.3665) x24  2 Bi 2.10-2.30
O (0.1230, 0.1230, 0.1230) x8  1 Er 2.15, 3 Bi 2.40
O (0.1659, 0.1659, 0.8341) x8  3 Bi 2.27

Summary:
The calculation puts the calculated total energy at -1160.3 eV/f.u. The total magnetization is 0.00 μB per atom. The value obtained for the density of states at the Fermi level is 0.499 states/eV per atom. The value obtained for the energy relative to the elements, uncorrected is -1.28 eV per atom. Its crystal system is cubic.

---

(10)
Below is a PBEsol-optimized structure of ErBiRh, with properties calculated at the SCAN level.

Lattice parameters (Å, degrees): 7.5207 7.5207 3.9013 90.00 90.00 120.00
Last column: nearest neighbours and their distance in Å.
Space group P-62m (No. 189)
Asymmetric unit:
Er (0.0000, 0.3998, 0.0000) x3  5 Rh 3.01, 6 Bi 3.18-3.29
Bi (0.0000, 0.7337, 0.5000) x3  4 Rh 2.79-2.80
Rh (0.0000, 0.0000, 0.0000) x1  6 Bi 2.80, 3 Er 3.01
Rh (0.3333, 0.6667, 0.5000) x2  3 Bi 2.79, 6 Er 3.01

Summary:
The calculation puts the calculated total energy at -165.3 eV/f.u. The total magnetization is 0.00 μB per atom. Its energy of formation from the pure elements is -877 meV per atom. The value obtained for the density of states at the Fermi level is 0.475 states/eV per atom. Its crystal system is hexagonal.

---

(11)
Below is a PBEsol-optimized structure of EuBi2, with properties calculated at the SCAN level.

Lattice parameters (Å, degrees): 4.7138 16.8340 4.5538 90.00 90.00 90.00
Last column: nearest neighbours and their distance in Å.
Space group Cmcm (No. 63)
Asymmetric unit:
Eu (0.0000, 0.0991, 0.2500) x4  10 Bi 3.32-3.65
Bi (0.0000, 0.2534, 0.7500) x4  4 Bi 3.28, 4 Eu 3.42-3.45
Bi (0.0000, 0.4334, 0.2500) x4  2 Bi 3.20, 4 Eu 3.32

Summary:
The calculation puts the calculated total energy at -213.0 eV/f.u. The total magnetization is 2.33 μB per atom. Its energy of formation from the pure elements is -695 meV per atom. The value obtained for the density of states at the Fermi level is 1.630 states/eV per atom. Its crystal system is orthorhombic.

---

(12)
Below is a PBEsol-optimized structure of EuBiPd2, with properties calculated at the SCAN level.

Lattice parameters (Å, degrees): 6.9117 6.9117 6.9117 90.00 90.00 90.00
Last column: nearest neighbours and their distance in Å.
Space group Fm-3m (No. 225)
Asymmetric unit:
Eu (0.0000, 0.0000, 0.0000) x4  8 Pd 2.99
Bi (0.0000, 0.0000, 0.5000) x4  8 Pd 2.99
Pd (0.2500, 0.2500, 0.2500) x8  4 Bi 2.99, 4 Eu 2.99

Summary:
The calculation puts the calculated total energy at -200.3 eV/f.u. The total magnetization is 1.73 μB per atom. Its energy of formation from the pure elements is -610 meV per atom. The value obtained for the density of states at the Fermi level is 2.289 states/eV per atom. Its crystal system is cubic.